(1)
Density functional theory data (PBE) for a relaxed Sr2Al12CuPd3 crystal.

Cell lengths 8.0929, 8.0929, 8.0929 Å; angles 68.79, 68.79, 68.79 degrees
With the nearest neighbours (Å) after each atom.
Element x y z (fractional)
Sr (0.6045, 0.6045, 0.6045)  6 Al 3.25-3.62
Sr (0.3955, 0.3955, 0.3955)  6 Al 3.25-3.62
Al (0.2335, 0.2335, 0.8895)  2 Pd 2.50, 2 Al 2.77
Al (0.8722, 0.8722, 0.3469)  1 Pd 2.51, 1 Cu 2.57, 4 Al 2.74-2.77
Al (0.3469, 0.8722, 0.8722)  1 Pd 2.51, 1 Cu 2.57, 4 Al 2.74-2.77
Al (0.8895, 0.2335, 0.2335)  2 Pd 2.50, 2 Al 2.77
Al (0.8722, 0.3469, 0.8722)  1 Pd 2.51, 1 Cu 2.57, 4 Al 2.74-2.77
Al (0.2335, 0.8895, 0.2335)  2 Pd 2.50, 2 Al 2.77
Al (0.7665, 0.7665, 0.1105)  2 Pd 2.50, 2 Al 2.77
Al (0.1278, 0.1278, 0.6531)  1 Pd 2.51, 1 Cu 2.57, 4 Al 2.74-2.77
Al (0.6531, 0.1278, 0.1278)  1 Pd 2.51, 1 Cu 2.57, 4 Al 2.74-2.77
Al (0.1105, 0.7665, 0.7665)  2 Pd 2.50, 2 Al 2.77
Al (0.1278, 0.6531, 0.1278)  1 Pd 2.51, 1 Cu 2.57, 4 Al 2.74-2.77
Al (0.7665, 0.1105, 0.7665)  2 Pd 2.50, 2 Al 2.77
Cu (0.0000, 0.0000, 0.0000)  12 Al 2.57-2.84
Pd (0.5000, 0.0000, 0.0000)  6 Al 2.50-2.51
Pd (0.0000, 0.5000, 0.0000)  6 Al 2.50-2.51
Pd (0.0000, 0.0000, 0.5000)  6 Al 2.50-2.51

Values from the calculation:
Symmetry   No. 166
DFT formation energy   -1.5 eV/f.u.
E   -3.8594 eV per atom
D(E_F)   7.05 states/eV per cell

---

(2)
Density functional theory data (PBE) for a relaxed SrAlCuPd crystal.

Cell lengths 4.3650, 4.3793, 5.9380 Å; angles 111.61, 90.00, 119.89 degrees
With the nearest neighbours (Å) after each atom.
Element x y z (fractional)
Sr (0.6183, 0.2366, 0.4967)  4 Cu 3.09-3.41, 4 Pd 3.12-3.39
Al (0.1136, 0.2272, 0.9831)  3 Pd 2.55-2.56, 3 Cu 2.57
Cu (0.8100, 0.6200, 0.0718)  3 Al 2.57, 3 Pd 2.66-2.67
Pd (0.4244, 0.8487, 0.9158)  3 Al 2.55-2.56, 3 Cu 2.66-2.67

Values from the calculation:
Symmetry   No. 8
DFT formation energy   -2.1 eV/f.u.
E   -4.1932 eV per atom
D(E_F)   1.86 states/eV per cell

---

(3)
Density functional theory data (PBE) for a relaxed TbAl4CuPd2 crystal.

Cell lengths 4.2565, 4.2565, 9.0485 Å; angles 76.40, 76.40, 60.00 degrees
With the nearest neighbours (Å) after each atom.
Element x y z (fractional)
Tb (0.0000, 0.0000, 0.0000)  6 Al 3.06
Al (0.4032, 0.4032, 0.7903)  1 Cu 2.53, 3 Pd 2.55
Al (0.8676, 0.8676, 0.3971)  3 Cu 2.62, 4 Pd 2.63-2.74
Al (0.1324, 0.1324, 0.6029)  3 Cu 2.62, 4 Pd 2.63-2.74
Al (0.5968, 0.5968, 0.2097)  1 Cu 2.53, 3 Pd 2.55
Cu (0.5000, 0.5000, 0.5000)  8 Al 2.53-2.62
Pd (0.7628, 0.7628, 0.7118)  7 Al 2.55-2.74
Pd (0.2372, 0.2372, 0.2882)  7 Al 2.55-2.74

Values from the calculation:
Symmetry   No. 166
DFT formation energy   -5.0 eV/f.u.
E   -4.8804 eV per atom
D(E_F)   2.60 states/eV per cell

---

(4)
Density functional theory data (PBE) for a relaxed Tb2Al3Cu12Pd crystal.

Cell lengths 12.4125, 12.4125, 12.4125 Å; angles 24.38, 24.38, 24.38 degrees
With the nearest neighbours (Å) after each atom.
Element x y z (fractional)
Tb (0.6432, 0.6432, 0.6432)  6 Cu 2.90, 3 Pd 3.14
Tb (0.3568, 0.3568, 0.3568)  6 Cu 2.90, 3 Pd 3.14
Al (0.5000, 0.0000, 0.0000)  4 Cu 2.53, 4 Al 2.62
Al (0.0000, 0.5000, 0.0000)  4 Cu 2.53, 4 Al 2.62
Al (0.0000, 0.0000, 0.5000)  4 Cu 2.53, 4 Al 2.62
Cu (0.3965, 0.3965, 0.8729)  6 Cu 2.47-2.74, 2 Al 2.53
Cu (0.8904, 0.8904, 0.3931)  6 Cu 2.47-2.63, 1 Pd 2.59
Cu (0.3931, 0.8904, 0.8904)  6 Cu 2.47-2.63, 1 Pd 2.59
Cu (0.8729, 0.3965, 0.3965)  6 Cu 2.47-2.74, 2 Al 2.53
Cu (0.8904, 0.3931, 0.8904)  6 Cu 2.47-2.63, 1 Pd 2.59
Cu (0.3965, 0.8729, 0.3965)  6 Cu 2.47-2.74, 2 Al 2.53
Cu (0.6035, 0.6035, 0.1271)  6 Cu 2.47-2.74, 2 Al 2.53
Cu (0.1096, 0.1096, 0.6069)  6 Cu 2.47-2.63, 1 Pd 2.59
Cu (0.6069, 0.1096, 0.1096)  6 Cu 2.47-2.63, 1 Pd 2.59
Cu (0.1271, 0.6035, 0.6035)  6 Cu 2.47-2.74, 2 Al 2.53
Cu (0.1096, 0.6069, 0.1096)  6 Cu 2.47-2.63, 1 Pd 2.59
Cu (0.6035, 0.1271, 0.6035)  6 Cu 2.47-2.74, 2 Al 2.53
Pd (0.0000, 0.0000, 0.0000)  6 Cu 2.59

Values from the calculation:
Symmetry   No. 166
DFT formation energy   0.3 eV/f.u.
E   -4.1422 eV per atom
D(E_F)   11.83 states/eV per cell